1.
! Ba2Ac2S5 (PBE-GGA, relaxed); values from VASP
! Density: 5.61 g/cm3
! VASP energy: -103.97 eV/cell
! Formation energy from raw total energies: -2143 meV/atom
&SYSTEM
  ibrav = 0, nat = 18, ntyp = 3
/
ATOMIC_SPECIES
Ba 137.33 Ba.upf
Ac 227.00 Ac.upf
S 32.06 S.upf
ATOMIC_POSITIONS crystal
Ba 0.201 0.201 0.000
Ba 0.299 0.299 0.500
Ba 0.701 0.701 0.500
Ba 0.799 0.799 0.000
Ac 0.161 0.839 0.661
Ac 0.339 0.661 0.161
Ac 0.661 0.339 0.839
Ac 0.839 0.161 0.339
S 0.000 0.000 0.000
S 0.025 0.720 0.350
S 0.220 0.525 0.850
S 0.280 0.975 0.350
S 0.475 0.780 0.850
S 0.500 0.500 0.500
S 0.525 0.220 0.150
S 0.720 0.025 0.650
S 0.780 0.475 0.150
S 0.975 0.280 0.650
CELL_PARAMETERS angstrom
7.714 -4.121 0.000
7.714 4.121 0.000
0.000 0.000 8.275

---

2.
! BaAcS (PBE-GGA, relaxed); values from VASP
! Density: 5.44 g/cm3
! ΔE to the lowest computed polymorph: 0.0 meV per atom
! VASP energy: -13.71 eV/cell
! Formation energy from raw total energies: -1183 meV/atom
&SYSTEM
  ibrav = 0, nat = 3, ntyp = 3
/
ATOMIC_SPECIES
Ba 137.33 Ba.upf
Ac 227.00 Ac.upf
S 32.06 S.upf
ATOMIC_POSITIONS crystal
Ba 0.000 0.000 0.000
Ac 0.333 0.667 0.492
S 0.667 0.333 0.259
CELL_PARAMETERS angstrom
4.305 0.000 0.000
-2.153 3.728 0.000
0.000 0.000 7.535

---

3.
! BaAcSeS (PBE-GGA, relaxed); values from VASP
! Density: 6.05 g/cm3
! VASP energy: -21.28 eV/cell
! Formation energy from raw total energies: -1908 meV/atom
&SYSTEM
  ibrav = 0, nat = 4, ntyp = 4
/
ATOMIC_SPECIES
Ba 137.33 Ba.upf
Ac 227.00 Ac.upf
Se 78.96 Se.upf
S 32.06 S.upf
ATOMIC_POSITIONS crystal
Ba 0.000 0.000 0.000
Ac 0.822 0.822 0.822
Se 0.573 0.573 0.573
S 0.413 0.413 0.413
CELL_PARAMETERS angstrom
2.185 1.262 7.891
-2.185 1.262 7.891
0.000 -2.523 7.891

---

4.
! BaAc2SeS5 (PBE-GGA, relaxed); values from VASP
! Density: 5.39 g/cm3
! VASP energy: -93.90 eV/cell
! Formation energy from raw total energies: -1410 meV/atom
&SYSTEM
  ibrav = 0, nat = 18, ntyp = 4
/
ATOMIC_SPECIES
Ba 137.33 Ba.upf
Ac 227.00 Ac.upf
Se 78.96 Se.upf
S 32.06 S.upf
ATOMIC_POSITIONS crystal
Ba 0.250 0.250 0.000
Ba 0.750 0.750 0.000
Ac 0.159 0.659 0.817
Ac 0.341 0.159 0.500
Ac 0.659 0.841 0.500
Ac 0.841 0.341 0.183
Se 0.250 0.750 0.500
Se 0.750 0.250 0.500
S 0.000 0.000 0.000
S 0.023 0.231 0.500
S 0.231 0.731 0.208
S 0.269 0.477 0.500
S 0.477 0.977 0.208
S 0.500 0.500 0.000
S 0.523 0.023 0.792
S 0.731 0.523 0.500
S 0.769 0.269 0.792
S 0.977 0.769 0.500
CELL_PARAMETERS angstrom
-4.120 4.120 7.535
4.120 -4.120 7.535
4.120 4.120 -7.535

---

5.
! Ba2AcSmS4 (PBE-GGA, relaxed); values from VASP
! Density: 5.60 g/cm3
! VASP energy: -45.34 eV/cell
! Formation energy from raw total energies: -2020 meV/atom
&SYSTEM
  ibrav = 0, nat = 8, ntyp = 4
/
ATOMIC_SPECIES
Ba 137.33 Ba.upf
Ac 227.00 Ac.upf
Sm 150.36 Sm.upf
S 32.06 S.upf
ATOMIC_POSITIONS crystal
Ba 0.000 0.000 0.000
Ba 0.500 0.500 0.000
Ac 0.000 0.500 0.500
Sm 0.500 0.000 0.500
S 0.253 0.000 0.726
S 0.270 0.500 0.280
S 0.730 0.500 0.720
S 0.747 0.000 0.274
CELL_PARAMETERS angstrom
7.450 0.000 0.000
0.000 4.307 0.000
-2.479 0.000 7.214

---

6.
! Ba2AcSnS5 (PBE-GGA, relaxed); values from VASP
! Density: 4.81 g/cm3
! VASP energy: -94.50 eV/cell
! Formation energy from raw total energies: -1628 meV/atom
&SYSTEM
  ibrav = 0, nat = 18, ntyp = 4
/
ATOMIC_SPECIES
Ba 137.33 Ba.upf
Ac 227.00 Ac.upf
Sn 118.71 Sn.upf
S 32.06 S.upf
ATOMIC_POSITIONS crystal
Ba 0.111 0.889 0.500
Ba 0.125 0.875 0.133
Ba 0.875 0.125 0.633
Ba 0.889 0.111 0.000
Ac 0.211 0.789 0.835
Ac 0.789 0.211 0.335
Sn 0.457 0.543 0.268
Sn 0.543 0.457 0.768
S 0.044 0.956 0.857
S 0.288 0.712 0.487
S 0.325 0.675 0.186
S 0.366 0.634 0.819
S 0.495 0.505 0.588
S 0.505 0.495 0.088
S 0.634 0.366 0.319
S 0.675 0.325 0.686
S 0.712 0.288 0.987
S 0.956 0.044 0.357
CELL_PARAMETERS angstrom
2.275 -9.299 0.000
2.275 9.299 0.000
0.000 0.000 12.746

---

7.
! BaSr2AcS4 (PBE-GGA, relaxed); values from VASP
! Density: 4.76 g/cm3
! VASP energy: -42.45 eV/cell
! Formation energy from raw total energies: -2068 meV/atom
&SYSTEM
  ibrav = 0, nat = 8, ntyp = 4
/
ATOMIC_SPECIES
Ba 137.33 Ba.upf
Sr 87.62 Sr.upf
Ac 227.00 Ac.upf
S 32.06 S.upf
ATOMIC_POSITIONS crystal
Ba 0.000 0.000 0.000
Sr 0.500 0.000 0.500
Sr 0.500 0.500 0.000
Ac 0.000 0.500 0.500
S 0.254 0.000 0.743
S 0.259 0.500 0.263
S 0.741 0.500 0.737
S 0.746 0.000 0.257
CELL_PARAMETERS angstrom
7.524 0.000 0.000
0.000 4.348 0.000
-2.503 0.000 7.127

---

8.
! Ba3SrAc2S6 (PBE-GGA, relaxed); values from VASP
! Density: 5.20 g/cm3
! VASP energy: -65.23 eV/cell
! Formation energy from raw total energies: -2067 meV/atom
&SYSTEM
  ibrav = 0, nat = 12, ntyp = 4
/
ATOMIC_SPECIES
Ba 137.33 Ba.upf
Sr 87.62 Sr.upf
Ac 227.00 Ac.upf
S 32.06 S.upf
ATOMIC_POSITIONS crystal
Ba 0.000 0.000 0.000
Ba 0.334 0.666 0.000
Ba 0.666 0.334 0.000
Sr 0.500 0.500 0.500
Ac 0.167 0.833 0.500
Ac 0.833 0.167 0.500
S 0.089 0.423 0.269
S 0.243 0.243 0.730
S 0.423 0.089 0.269
S 0.577 0.911 0.731
S 0.757 0.757 0.270
S 0.911 0.577 0.731
CELL_PARAMETERS angstrom
3.815 -6.601 0.000
3.815 6.601 0.000
-2.541 0.000 7.267

---

9.
! Ba2SrAcS4 (PBE-GGA, relaxed); values from VASP
! Density: 4.88 g/cm3
! VASP energy: -42.74 eV/cell
! Formation energy from raw total energies: -2075 meV/atom
&SYSTEM
  ibrav = 0, nat = 8, ntyp = 4
/
ATOMIC_SPECIES
Ba 137.33 Ba.upf
Sr 87.62 Sr.upf
Ac 227.00 Ac.upf
S 32.06 S.upf
ATOMIC_POSITIONS crystal
Ba 0.000 0.000 0.000
Ba 0.500 0.500 0.000
Sr 0.000 0.500 0.500
Ac 0.500 0.000 0.500
S 0.246 0.000 0.731
S 0.257 0.500 0.269
S 0.743 0.500 0.731
S 0.754 0.000 0.269
CELL_PARAMETERS angstrom
7.619 0.000 0.000
0.000 4.410 0.000
-2.545 0.000 7.268

---

10.
! Ba4SrAc3S8 (PBE-GGA, relaxed); values from VASP
! Density: 5.36 g/cm3
! VASP energy: -87.75 eV/cell
! Formation energy from raw total energies: -2065 meV/atom
&SYSTEM
  ibrav = 0, nat = 16, ntyp = 4
/
ATOMIC_SPECIES
Ba 137.33 Ba.upf
Sr 87.62 Sr.upf
Ac 227.00 Ac.upf
S 32.06 S.upf
ATOMIC_POSITIONS crystal
Ba 0.000 0.000 0.000
Ba 0.000 0.500 0.500
Ba 0.500 0.000 0.500
Ba 0.500 0.500 0.000
Sr 0.500 0.500 0.500
Ac 0.000 0.000 0.500
Ac 0.000 0.500 0.000
Ac 0.500 0.000 0.000
S 0.243 0.744 0.744
S 0.244 0.244 0.244
S 0.256 0.256 0.757
S 0.256 0.757 0.256
S 0.744 0.243 0.744
S 0.744 0.744 0.243
S 0.756 0.756 0.756
S 0.757 0.256 0.256
CELL_PARAMETERS angstrom
4.402 2.542 7.268
-4.402 2.542 7.268
0.000 -5.083 7.268

---

11.
! Ba2AcTbS4 (PBE-GGA, relaxed); values from VASP
! Density: 5.74 g/cm3
! VASP energy: -45.16 eV/cell
! Formation energy from raw total energies: -2009 meV/atom
&SYSTEM
  ibrav = 0, nat = 8, ntyp = 4
/
ATOMIC_SPECIES
Ba 137.33 Ba.upf
Ac 227.00 Ac.upf
Tb 158.93 Tb.upf
S 32.06 S.upf
ATOMIC_POSITIONS crystal
Ba 0.000 0.000 0.000
Ba 0.500 0.500 0.000
Ac 0.000 0.500 0.500
Tb 0.500 0.000 0.500
S 0.257 0.000 0.723
S 0.275 0.500 0.284
S 0.725 0.500 0.716
S 0.743 0.000 0.277
CELL_PARAMETERS angstrom
7.415 0.000 0.000
0.000 4.279 0.000
-2.456 0.000 7.196

---

12.
! Ba3Ac3TbS8 (PBE-GGA, relaxed); values from VASP
! Density: 5.26 g/cm3
! VASP energy: -86.85 eV/cell
! Formation energy from raw total energies: -2074 meV/atom
&SYSTEM
  ibrav = 0, nat = 15, ntyp = 4
/
ATOMIC_SPECIES
Ba 137.33 Ba.upf
Ac 227.00 Ac.upf
Tb 158.93 Tb.upf
S 32.06 S.upf
ATOMIC_POSITIONS crystal
Ba 0.000 0.500 0.500
Ba 0.500 0.000 0.500
Ba 0.500 0.500 0.000
Ac 0.000 0.000 0.500
Ac 0.000 0.500 0.000
Ac 0.500 0.000 0.000
Tb 0.500 0.500 0.500
S 0.244 0.244 0.244
S 0.259 0.727 0.727
S 0.273 0.273 0.741
S 0.273 0.741 0.273
S 0.727 0.259 0.727
S 0.727 0.727 0.259
S 0.741 0.273 0.273
S 0.756 0.756 0.756
CELL_PARAMETERS angstrom
4.329 2.499 7.334
-4.329 2.499 7.334
0.000 -4.998 7.334

---

13.
! Ba3Ac2TlS6 (PBE-GGA, relaxed); values from VASP
! Density: 5.55 g/cm3
! VASP energy: -63.35 eV/cell
! Formation energy from raw total energies: -1853 meV/atom
&SYSTEM
  ibrav = 0, nat = 12, ntyp = 4
/
ATOMIC_SPECIES
Ba 137.33 Ba.upf
Ac 227.00 Ac.upf
Tl 204.38 Tl.upf
S 32.06 S.upf
ATOMIC_POSITIONS crystal
Ba 0.000 0.000 0.000
Ba 0.341 0.341 0.661
Ba 0.659 0.659 0.339
Ac 0.334 0.334 0.168
Ac 0.666 0.666 0.832
Tl 0.000 0.000 0.500
S 0.171 0.171 0.075
S 0.173 0.173 0.606
S 0.490 0.490 0.237
S 0.510 0.510 0.763
S 0.827 0.827 0.394
S 0.829 0.829 0.925
CELL_PARAMETERS angstrom
9.674 -2.230 0.000
9.674 2.230 0.000
-1.923 0.000 8.764

---

14.
! BaAc2Tl3S6 (PBE-GGA, relaxed); values from VASP
! Density: 6.19 g/cm3
! VASP energy: -57.96 eV/cell
! Formation energy from raw total energies: -1330 meV/atom
&SYSTEM
  ibrav = 0, nat = 12, ntyp = 4
/
ATOMIC_SPECIES
Ba 137.33 Ba.upf
Ac 227.00 Ac.upf
Tl 204.38 Tl.upf
S 32.06 S.upf
ATOMIC_POSITIONS crystal
Ba 0.000 0.000 0.000
Ac 0.332 0.332 0.663
Ac 0.668 0.668 0.337
Tl 0.000 0.000 0.500
Tl 0.331 0.331 0.163
Tl 0.669 0.669 0.837
S 0.165 0.165 0.114
S 0.174 0.174 0.568
S 0.489 0.489 0.737
S 0.511 0.511 0.263
S 0.826 0.826 0.432
S 0.835 0.835 0.886
CELL_PARAMETERS angstrom
9.709 -2.222 0.000
9.709 2.222 0.000
-1.777 0.000 8.691

---

15.
! Ba3Ac3TmS8 (PBE-GGA, relaxed); values from VASP
! Density: 5.33 g/cm3
! VASP energy: -86.63 eV/cell
! Formation energy from raw total energies: -2070 meV/atom
&SYSTEM
  ibrav = 0, nat = 15, ntyp = 4
/
ATOMIC_SPECIES
Ba 137.33 Ba.upf
Ac 227.00 Ac.upf
Tm 168.93 Tm.upf
S 32.06 S.upf
ATOMIC_POSITIONS crystal
Ba 0.000 0.500 0.500
Ba 0.500 0.000 0.500
Ba 0.500 0.500 0.000
Ac 0.000 0.000 0.500
Ac 0.000 0.500 0.000
Ac 0.500 0.000 0.000
Tm 0.500 0.500 0.500
S 0.245 0.245 0.245
S 0.263 0.724 0.724
S 0.276 0.276 0.737
S 0.276 0.737 0.276
S 0.724 0.263 0.724
S 0.724 0.724 0.263
S 0.737 0.276 0.276
S 0.755 0.755 0.755
CELL_PARAMETERS angstrom
4.315 2.492 7.336
-4.315 2.492 7.336
0.000 -4.983 7.336

---

16.
! Ba2AcUS6 (PBE-GGA, relaxed); values from VASP
! Density: 5.11 g/cm3
! VASP energy: -125.46 eV/cell
! Formation energy from raw total energies: -1872 meV/atom
&SYSTEM
  ibrav = 0, nat = 20, ntyp = 4
/
ATOMIC_SPECIES
Ba 137.33 Ba.upf
Ac 227.00 Ac.upf
U 238.03 U.upf
S 32.06 S.upf
ATOMIC_POSITIONS crystal
Ba 0.229 0.067 0.251
Ba 0.229 0.433 0.751
Ba 0.771 0.567 0.249
Ba 0.771 0.933 0.749
Ac 0.500 0.000 0.000
Ac 0.500 0.500 0.500
U 0.000 0.000 0.500
U 0.000 0.500 0.000
S 0.123 0.216 0.940
S 0.123 0.284 0.440
S 0.233 0.687 0.947
S 0.233 0.813 0.447
S 0.339 0.036 0.734
S 0.339 0.464 0.234
S 0.661 0.536 0.766
S 0.661 0.964 0.266
S 0.767 0.187 0.553
S 0.767 0.313 0.053
S 0.877 0.716 0.560
S 0.877 0.784 0.060
CELL_PARAMETERS angstrom
7.372 0.000 0.000
0.000 7.744 0.000
-7.299 0.000 10.616

---

17.
! Ba3Ac3YS8 (PBE-GGA, relaxed); values from VASP
! Density: 5.02 g/cm3
! VASP energy: -88.70 eV/cell
! Formation energy from raw total energies: -2075 meV/atom
&SYSTEM
  ibrav = 0, nat = 15, ntyp = 4
/
ATOMIC_SPECIES
Ba 137.33 Ba.upf
Ac 227.00 Ac.upf
Y 88.91 Y.upf
S 32.06 S.upf
ATOMIC_POSITIONS crystal
Ba 0.000 0.500 0.500
Ba 0.500 0.000 0.500
Ba 0.500 0.500 0.000
Ac 0.000 0.000 0.500
Ac 0.000 0.500 0.000
Ac 0.500 0.000 0.000
Y 0.500 0.500 0.500
S 0.245 0.245 0.245
S 0.260 0.727 0.727
S 0.273 0.273 0.740
S 0.273 0.740 0.273
S 0.727 0.260 0.727
S 0.727 0.727 0.260
S 0.740 0.273 0.273
S 0.755 0.755 0.755
CELL_PARAMETERS angstrom
4.326 2.497 7.334
-4.326 2.497 7.334
0.000 -4.995 7.334

---

18.
! Ba2AcYS4 (PBE-GGA, relaxed); values from VASP
! Density: 5.24 g/cm3
! VASP energy: -46.99 eV/cell
! Formation energy from raw total energies: -2008 meV/atom
&SYSTEM
  ibrav = 0, nat = 8, ntyp = 4
/
ATOMIC_SPECIES
Ba 137.33 Ba.upf
Ac 227.00 Ac.upf
Y 88.91 Y.upf
S 32.06 S.upf
ATOMIC_POSITIONS crystal
Ba 0.000 0.000 0.000
Ba 0.500 0.500 0.000
Ac 0.000 0.500 0.500
Y 0.500 0.000 0.500
S 0.257 0.000 0.723
S 0.276 0.500 0.285
S 0.724 0.500 0.715
S 0.743 0.000 0.277
CELL_PARAMETERS angstrom
7.410 0.000 0.000
0.000 4.278 0.000
-2.455 0.000 7.193

---

19.
! Ba2AcZnS5 (PBE-GGA, relaxed); values from VASP
! Density: 4.71 g/cm3
! VASP energy: -88.61 eV/cell
! Formation energy from raw total energies: -1604 meV/atom
&SYSTEM
  ibrav = 0, nat = 18, ntyp = 4
/
ATOMIC_SPECIES
Ba 137.33 Ba.upf
Ac 227.00 Ac.upf
Zn 65.41 Zn.upf
S 32.06 S.upf
ATOMIC_POSITIONS crystal
Ba 0.107 0.893 0.500
Ba 0.140 0.860 0.173
Ba 0.860 0.140 0.673
Ba 0.893 0.107 0.000
Ac 0.172 0.828 0.847
Ac 0.828 0.172 0.347
Zn 0.470 0.530 0.226
Zn 0.530 0.470 0.726
S 0.007 0.993 0.807
S 0.318 0.682 0.501
S 0.333 0.667 0.844
S 0.337 0.663 0.187
S 0.475 0.525 0.566
S 0.525 0.475 0.066
S 0.663 0.337 0.687
S 0.667 0.333 0.344
S 0.682 0.318 0.001
S 0.993 0.007 0.307
CELL_PARAMETERS angstrom
2.170 -8.859 0.000
2.170 8.859 0.000
0.000 0.000 13.343

---

20.
! BaAc2ZnS5 (PBE-GGA, relaxed); values from VASP
! Density: 5.77 g/cm3
! VASP energy: -97.75 eV/cell
! Formation energy from raw total energies: -1869 meV/atom
&SYSTEM
  ibrav = 0, nat = 18, ntyp = 4
/
ATOMIC_SPECIES
Ba 137.33 Ba.upf
Ac 227.00 Ac.upf
Zn 65.41 Zn.upf
S 32.06 S.upf
ATOMIC_POSITIONS crystal
Ba 0.250 0.250 0.000
Ba 0.750 0.750 0.000
Ac 0.163 0.663 0.827
Ac 0.337 0.163 0.500
Ac 0.663 0.837 0.500
Ac 0.837 0.337 0.173
Zn 0.250 0.750 0.500
Zn 0.750 0.250 0.500
S 0.000 0.000 0.000
S 0.010 0.213 0.500
S 0.213 0.713 0.203
S 0.287 0.490 0.500
S 0.490 0.990 0.203
S 0.500 0.500 0.000
S 0.510 0.010 0.797
S 0.713 0.510 0.500
S 0.787 0.287 0.797
S 0.990 0.787 0.500
CELL_PARAMETERS angstrom
-4.122 4.122 6.920
4.122 -4.122 6.920
4.122 4.122 -6.920

---

For reference, total moment by record: 0.00; 0.93; 0.76; 0.00; 0.00; 0.00; 0.00; 0.00; 0.00; 0.00; 0.00; 0.00; 0.00; 0.00; 0.00; 1.00; 0.00; 0.00; 1.02; 0.00 μB/f.u..